(1)
Below is RbSmTeS after structural relaxation, with properties calculated at the PBE-GGA level.

a = 8.555 Å, b = 8.555 Å, c = 8.555 Å
α = 29.54°, β = 29.54°, γ = 29.54°
Sites, in units of the cell vectors:
Rb: 0.000 0.000 0.000
Sm: 0.515 0.515 0.515
Te: 0.772 0.772 0.772
S: 0.238 0.238 0.238

For the total energy, the calculation gives -0.355 Ry per atom. The calculation puts the mass density at 4.876 g/cm3.



(2)
Below is RbSmYS3 after structural relaxation, with properties calculated at the PBE-GGA level.

a = 7.940 Å, b = 7.940 Å, c = 11.001 Å
α = 90.00°, β = 90.00°, γ = 147.42°
Sites, in units of the cell vectors:
Rb: 0.234 0.766 0.750
Rb: 0.766 0.234 0.250
Sm: 0.500 0.500 0.000
Sm: 0.500 0.500 0.500
Y: 0.032 0.968 0.250
Y: 0.968 0.032 0.750
S: 0.118 0.882 0.048
S: 0.118 0.882 0.452
S: 0.442 0.558 0.250
S: 0.558 0.442 0.750
S: 0.882 0.118 0.548
S: 0.882 0.118 0.952

For the total energy, the calculation gives -0.422 Ry per atom. The calculation puts the mass density at 3.743 g/cm3.



(3)
Below is RbSmZnS3 after structural relaxation, with properties calculated at the PBE-GGA level.

a = 9.215 Å, b = 9.215 Å, c = 8.605 Å
α = 101.31°, β = 101.31°, γ = 26.22°
Sites, in units of the cell vectors:
Rb: 0.145 0.145 0.069
Rb: 0.855 0.855 0.931
Sm: 0.165 0.165 0.564
Sm: 0.835 0.835 0.436
Zn: 0.473 0.473 0.256
Zn: 0.527 0.527 0.744
S: 0.000 0.000 0.500
S: 0.323 0.323 0.639
S: 0.343 0.343 0.222
S: 0.500 0.500 0.000
S: 0.657 0.657 0.778
S: 0.677 0.677 0.361

For the total energy, the calculation gives -0.332 Ry per atom. The calculation puts the mass density at 4.174 g/cm3.



(4)
Below is RbSmZnS3 after structural relaxation, with properties calculated at the PBE-GGA level.

a = 9.037 Å, b = 4.070 Å, c = 9.708 Å
α = 90.00°, β = 108.07°, γ = 90.00°
Sites, in units of the cell vectors:
Rb: 0.210 0.250 0.238
Rb: 0.790 0.750 0.762
Sm: 0.330 0.750 0.857
Sm: 0.670 0.250 0.143
Zn: 0.082 0.250 0.608
Zn: 0.918 0.750 0.392
S: 0.113 0.250 0.853
S: 0.188 0.750 0.537
S: 0.463 0.750 0.154
S: 0.537 0.250 0.846
S: 0.812 0.250 0.463
S: 0.887 0.750 0.147

For the total energy, the calculation gives -0.345 Ry per atom. The calculation puts the mass density at 3.889 g/cm3.



(5)
Below is RbTaSnS5 after structural relaxation, with properties calculated at the PBE-GGA level.

a = 7.156 Å, b = 7.580 Å, c = 9.333 Å
α = 70.32°, β = 78.57°, γ = 75.14°
Sites, in units of the cell vectors:
Rb: 0.096 0.360 0.293
Rb: 0.904 0.640 0.707
Ta: 0.257 0.967 0.995
Ta: 0.743 0.033 0.005
Sn: 0.481 0.712 0.363
Sn: 0.519 0.288 0.637
S: 0.061 0.776 0.978
S: 0.177 0.902 0.280
S: 0.263 0.114 0.714
S: 0.432 0.618 0.648
S: 0.435 0.233 0.991
S: 0.565 0.767 0.009
S: 0.568 0.382 0.352
S: 0.737 0.886 0.286
S: 0.823 0.098 0.720
S: 0.939 0.224 0.022

For the total energy, the calculation gives -0.405 Ry per atom. The calculation puts the mass density at 3.962 g/cm3.



(6)
Below is RbTbSnS3 after structural relaxation, with properties calculated at the PBE-GGA level.

a = 8.788 Å, b = 8.788 Å, c = 11.386 Å
α = 90.00°, β = 90.00°, γ = 153.71°
Sites, in units of the cell vectors:
Rb: 0.179 0.821 0.750
Rb: 0.821 0.179 0.250
Tb: 0.500 0.500 0.000
Tb: 0.500 0.500 0.500
Sn: 0.115 0.885 0.250
Sn: 0.885 0.115 0.750
S: 0.108 0.892 0.006
S: 0.108 0.892 0.494
S: 0.488 0.512 0.750
S: 0.512 0.488 0.250
S: 0.892 0.108 0.506
S: 0.892 0.108 0.994

For the total energy, the calculation gives -0.363 Ry per atom. The calculation puts the mass density at 3.917 g/cm3.



(7)
Below is RbTmSnS3 after structural relaxation, with properties calculated at the PBE-GGA level.

a = 15.403 Å, b = 4.006 Å, c = 11.822 Å
α = 90.00°, β = 90.00°, γ = 90.00°
Sites, in units of the cell vectors:
Rb: 0.234 0.250 0.098
Rb: 0.266 0.750 0.598
Rb: 0.734 0.250 0.402
Rb: 0.766 0.750 0.902
Tm: 0.004 0.750 0.640
Tm: 0.496 0.250 0.140
Tm: 0.504 0.750 0.860
Tm: 0.996 0.250 0.360
Sn: 0.043 0.250 0.904
Sn: 0.457 0.750 0.404
Sn: 0.543 0.250 0.596
Sn: 0.957 0.750 0.096
S: 0.080 0.750 0.239
S: 0.095 0.250 0.543
S: 0.127 0.750 0.812
S: 0.373 0.250 0.312
S: 0.405 0.750 0.043
S: 0.420 0.250 0.739
S: 0.580 0.750 0.261
S: 0.595 0.250 0.957
S: 0.627 0.750 0.688
S: 0.873 0.250 0.188
S: 0.905 0.750 0.457
S: 0.920 0.250 0.761

For the total energy, the calculation gives -0.369 Ry per atom. The calculation puts the mass density at 4.274 g/cm3. The energy above the most stable polymorph in this dataset comes out at 0 meV/atom.



(8)
Below is RbTmSnS3 after structural relaxation, with properties calculated at the PBE-GGA level.

a = 8.873 Å, b = 8.873 Å, c = 11.221 Å
α = 90.00°, β = 90.00°, γ = 154.41°
Sites, in units of the cell vectors:
Rb: 0.183 0.817 0.750
Rb: 0.817 0.183 0.250
Tm: 0.500 0.500 0.000
Tm: 0.500 0.500 0.500
Sn: 0.114 0.886 0.250
Sn: 0.886 0.114 0.750
S: 0.105 0.895 0.003
S: 0.105 0.895 0.497
S: 0.488 0.512 0.750
S: 0.512 0.488 0.250
S: 0.895 0.105 0.503
S: 0.895 0.105 0.997

For the total energy, the calculation gives -0.361 Ry per atom. The calculation puts the mass density at 4.084 g/cm3. The energy above the most stable polymorph in this dataset comes out at 102 meV/atom.



(9)
Below is RbZrSnS3 after structural relaxation, with properties calculated at the PBE-GGA level.

a = 8.783 Å, b = 8.783 Å, c = 11.020 Å
α = 90.00°, β = 90.00°, γ = 156.03°
Sites, in units of the cell vectors:
Rb: 0.178 0.822 0.750
Rb: 0.822 0.178 0.250
Zr: 0.500 0.500 0.000
Zr: 0.500 0.500 0.500
Sn: 0.124 0.876 0.250
Sn: 0.876 0.124 0.750
S: 0.105 0.895 0.004
S: 0.105 0.895 0.496
S: 0.498 0.502 0.750
S: 0.502 0.498 0.250
S: 0.895 0.105 0.504
S: 0.895 0.105 0.996

For the total energy, the calculation gives -0.391 Ry per atom. The calculation puts the mass density at 3.765 g/cm3.



(10)
Below is RbSrTbS3 after structural relaxation, with properties calculated at the PBE-GGA level.

a = 9.802 Å, b = 9.802 Å, c = 11.642 Å
α = 90.00°, β = 90.00°, γ = 155.17°
Sites, in units of the cell vectors:
Rb: 0.143 0.857 0.750
Rb: 0.857 0.143 0.250
Sr: 0.089 0.911 0.250
Sr: 0.911 0.089 0.750
Tb: 0.500 0.500 0.000
Tb: 0.500 0.500 0.500
S: 0.096 0.904 0.010
S: 0.096 0.904 0.490
S: 0.491 0.509 0.250
S: 0.509 0.491 0.750
S: 0.904 0.096 0.510
S: 0.904 0.096 0.990

For the total energy, the calculation gives -0.364 Ry per atom. The calculation puts the mass density at 3.027 g/cm3. The energy above the most stable polymorph in this dataset comes out at 126 meV/atom.



(11)
Below is RbSrTbS3 after structural relaxation, with properties calculated at the PBE-GGA level.

a = 9.401 Å, b = 9.401 Å, c = 11.751 Å
α = 118.73°, β = 118.73°, γ = 25.11°
Sites, in units of the cell vectors:
Rb: 0.049 0.049 0.249
Rb: 0.951 0.951 0.751
Sr: 0.384 0.384 0.324
Sr: 0.616 0.616 0.676
Tb: 0.333 0.333 0.937
Tb: 0.667 0.667 0.063
S: 0.000 0.000 0.500
S: 0.157 0.157 0.884
S: 0.212 0.212 0.237
S: 0.500 0.500 0.000
S: 0.788 0.788 0.763
S: 0.843 0.843 0.116

For the total energy, the calculation gives -0.373 Ry per atom. The calculation puts the mass density at 3.708 g/cm3. The energy above the most stable polymorph in this dataset comes out at 0 meV/atom.



(12)
Below is RbSrTmS3 after structural relaxation, with properties calculated at the PBE-GGA level.

a = 7.972 Å, b = 7.972 Å, c = 12.269 Å
α = 90.00°, β = 90.00°, γ = 147.59°
Sites, in units of the cell vectors:
Rb: 0.244 0.756 0.750
Rb: 0.756 0.244 0.250
Sr: 0.000 0.000 0.000
Sr: 0.000 0.000 0.500
Tm: 0.480 0.520 0.250
Tm: 0.520 0.480 0.750
S: 0.069 0.931 0.250
S: 0.386 0.614 0.083
S: 0.386 0.614 0.417
S: 0.614 0.386 0.583
S: 0.614 0.386 0.917
S: 0.931 0.069 0.750

For the total energy, the calculation gives -0.368 Ry per atom. The calculation puts the mass density at 3.482 g/cm3.



(13)
Below is RbTa2S5 after structural relaxation, with properties calculated at the PBE-GGA level.

a = 7.021 Å, b = 8.109 Å, c = 8.679 Å
α = 64.80°, β = 79.47°, γ = 80.27°
Sites, in units of the cell vectors:
Rb: 0.121 0.335 0.288
Rb: 0.879 0.665 0.712
Ta: 0.244 0.977 0.017
Ta: 0.494 0.703 0.340
Ta: 0.506 0.297 0.660
Ta: 0.756 0.023 0.983
S: 0.044 0.780 0.004
S: 0.193 0.904 0.315
S: 0.272 0.128 0.682
S: 0.383 0.598 0.642
S: 0.463 0.230 0.976
S: 0.537 0.770 0.024
S: 0.617 0.402 0.358
S: 0.728 0.872 0.318
S: 0.807 0.096 0.685
S: 0.956 0.220 0.996

For the total energy, the calculation gives -0.494 Ry per atom. The calculation puts the mass density at 4.616 g/cm3.



(14)
Below is Rb3TaTe2S2 after structural relaxation, with properties calculated at the PBE-GGA level.

a = 7.749 Å, b = 7.217 Å, c = 8.544 Å
α = 58.17°, β = 52.31°, γ = 69.52°
Sites, in units of the cell vectors:
Rb: 0.000 0.000 0.000
Rb: 0.116 0.116 0.384
Rb: 0.616 0.616 0.884
Ta: 0.530 0.530 0.470
Te: 0.188 0.537 0.463
Te: 0.537 0.188 0.812
S: 0.517 0.840 0.483
S: 0.840 0.517 0.160

For the total energy, the calculation gives -0.345 Ry per atom. The calculation puts the mass density at 3.915 g/cm3.



(15)
Below is RbTbTeS after structural relaxation, with properties calculated at the PBE-GGA level.

a = 8.524 Å, b = 8.524 Å, c = 8.524 Å
α = 29.18°, β = 29.18°, γ = 29.18°
Sites, in units of the cell vectors:
Rb: 0.000 0.000 0.000
Tb: 0.515 0.515 0.515
Te: 0.773 0.773 0.773
S: 0.237 0.237 0.237

For the total energy, the calculation gives -0.353 Ry per atom. The calculation puts the mass density at 5.152 g/cm3.



(16)
Below is Rb2TbYS4 after structural relaxation, with properties calculated at the PBE-GGA level.

a = 4.079 Å, b = 4.079 Å, c = 15.376 Å
α = 90.00°, β = 90.00°, γ = 120.00°
Sites, in units of the cell vectors:
Rb: 0.333 0.667 0.250
Rb: 0.667 0.333 0.750
Tb: 0.000 0.000 0.000
Y: 0.000 0.000 0.500
S: 0.333 0.667 0.596
S: 0.333 0.667 0.904
S: 0.667 0.333 0.096
S: 0.667 0.333 0.404

For the total energy, the calculation gives -0.408 Ry per atom. The calculation puts the mass density at 4.101 g/cm3.



(17)
Below is RbTbZnS3 after structural relaxation, with properties calculated at the PBE-GGA level.

a = 9.033 Å, b = 9.033 Å, c = 8.603 Å
α = 101.43°, β = 101.43°, γ = 26.26°
Sites, in units of the cell vectors:
Rb: 0.148 0.148 0.066
Rb: 0.852 0.852 0.934
Tb: 0.166 0.166 0.565
Tb: 0.834 0.834 0.435
Zn: 0.476 0.476 0.260
Zn: 0.524 0.524 0.740
S: 0.000 0.000 0.500
S: 0.325 0.325 0.638
S: 0.342 0.342 0.225
S: 0.500 0.500 0.000
S: 0.658 0.658 0.775
S: 0.675 0.675 0.362

For the total energy, the calculation gives -0.332 Ry per atom. The calculation puts the mass density at 4.433 g/cm3.



(18)
Below is Rb2TcS3 after structural relaxation, with properties calculated at the PBE-GGA level.

a = 7.343 Å, b = 7.343 Å, c = 6.525 Å
α = 90.00°, β = 90.00°, γ = 74.48°
Sites, in units of the cell vectors:
Rb: 0.011 0.668 0.750
Rb: 0.332 0.989 0.750
Rb: 0.668 0.011 0.250
Rb: 0.989 0.332 0.250
Tc: 0.399 0.601 0.250
Tc: 0.601 0.399 0.750
S: 0.148 0.852 0.250
S: 0.378 0.378 0.000
S: 0.378 0.378 0.500
S: 0.622 0.622 0.000
S: 0.622 0.622 0.500
S: 0.852 0.148 0.750

For the total energy, the calculation gives -0.360 Ry per atom. The calculation puts the mass density at 3.577 g/cm3. The energy above the most stable polymorph in this dataset comes out at 38 meV/atom.



(19)
Below is Rb2TcS3 after structural relaxation, with properties calculated at the PBE-GGA level.

a = 7.631 Å, b = 7.631 Å, c = 9.828 Å
α = 121.59°, β = 121.59°, γ = 53.71°
Sites, in units of the cell vectors:
Rb: 0.085 0.085 0.367
Rb: 0.304 0.304 0.190
Rb: 0.696 0.696 0.810
Rb: 0.915 0.915 0.633
Tc: 0.394 0.394 0.839
Tc: 0.606 0.606 0.161
S: 0.208 0.208 0.780
S: 0.239 0.761 0.000
S: 0.389 0.389 0.608
S: 0.611 0.611 0.392
S: 0.761 0.239 0.000
S: 0.792 0.792 0.220

For the total energy, the calculation gives -0.362 Ry per atom. The calculation puts the mass density at 3.247 g/cm3. The energy above the most stable polymorph in this dataset comes out at 0 meV/atom.



(20)
Below is Rb2TcS3 after structural relaxation, with properties calculated at the PBE-GGA level.

a = 7.722 Å, b = 7.722 Å, c = 8.682 Å
α = 97.14°, β = 97.14°, γ = 121.01°
Sites, in units of the cell vectors:
Rb: 0.090 0.910 0.500
Rb: 0.243 0.752 0.000
Rb: 0.752 0.243 0.500
Rb: 0.910 0.090 0.000
Tc: 0.478 0.604 0.678
Tc: 0.604 0.478 0.178
S: 0.201 0.345 0.734
S: 0.345 0.201 0.234
S: 0.486 0.895 0.702
S: 0.637 0.780 0.253
S: 0.780 0.637 0.753
S: 0.895 0.486 0.202

For the total energy, the calculation gives -0.345 Ry per atom. The calculation puts the mass density at 2.824 g/cm3. The energy above the most stable polymorph in this dataset comes out at 231 meV/atom.